This record from the Alexandria database describes a PBEsol-optimized structure of MnIn2Rh. The functional is meta-GGA SCAN.

a b c (Å): 3.0569 4.6373 5.2369
angles (deg): 107.24 106.97 90.00
Last column: magnetic moment on the atom in μB.
Sites, in units of the cell vectors:
In  0.0165  0.0510  0.0329  -0.10
In  0.2358  0.7038  0.4715  -0.04
Mn  0.4812  0.5197  0.9625  3.81
Rh  0.7665  0.2255  0.5331  0.24

Summary:
E_tot, eV per cell: -119.7
Size of the total moment, μB per formula unit: 4.02